(1)
## GaBBr3 (GGA-PBE)

Data for a relaxed GaBBr3 crystal.

For the uncorrected formation energy, the calculation gives 1.2 eV per formula unit. The volume comes out at 116 Å³ per cell.

The structure belongs to space group Pm-3m (No. 221); the cell edges are 4.8756, 4.8756 and 4.8756 Å and the angles 90.00°, 90.00° and 90.00°. The distinct sites, in fractional coordinates, are Ga at (0.0000, 0.0000, 0.0000), B at (0.5000, 0.5000, 0.5000) and Br at (0.0000, 0.5000, 0.5000).

=====

(2)
## Li4GaSi (GGA-PBE)

Data for a relaxed Li4GaSi crystal.

For the uncorrected formation energy, the calculation gives -1.5 eV per formula unit. The volume comes out at 176 Å³ per cell.

The structure belongs to space group P2_1/m (No. 11); the cell edges are 5.2861, 4.3730 and 8.0299 Å and the angles 90.00°, 108.99° and 90.00°. The distinct sites, in fractional coordinates, are Li at (0.0513, 0.2500, 0.0832), Li at (0.1868, 0.2500, 0.4161), Li at (0.2945, 0.7500, 0.5848), Li at (0.4428, 0.7500, 0.9173), Ga at (0.3776, 0.7500, 0.2558) and Si at (0.1275, 0.2500, 0.7552).

=====

(3)
## DyCd8Hg6 (GGA-PBE)

Data for a relaxed DyCd8Hg6 crystal.

As for the formation enthalpy at 0 K: -3 kJ per mole of atoms. The volume comes out at 1124 Å³ per cell.

The structure belongs to space group R-3 (No. 148, hexagonal axes); the cell edges are 8.3017, 8.3017 and 18.8345 Å and the angles 90.00°, 90.00° and 120.00°. The distinct sites, in fractional coordinates, are Dy at (0.0000, 0.0000, 0.0000), Cd at (0.0000, 0.0000, 0.4210), Cd at (0.0780, 0.5395, 0.8118) and Hg at (0.0801, 0.5415, 0.3776).

=====

Repeat the second record exactly.
## Li4GaSi (GGA-PBE)

Data for a relaxed Li4GaSi crystal.

For the uncorrected formation energy, the calculation gives -1.5 eV per formula unit. The volume comes out at 176 Å³ per cell.

The structure belongs to space group P2_1/m (No. 11); the cell edges are 5.2861, 4.3730 and 8.0299 Å and the angles 90.00°, 108.99° and 90.00°. The distinct sites, in fractional coordinates, are Li at (0.0513, 0.2500, 0.0832), Li at (0.1868, 0.2500, 0.4161), Li at (0.2945, 0.7500, 0.5848), Li at (0.4428, 0.7500, 0.9173), Ga at (0.3776, 0.7500, 0.2558) and Si at (0.1275, 0.2500, 0.7552).

=====

> Which of these has the highest volume?

DyCd8Hg6